No. 1
Entry from the Alexandria database: crystalline KSmCdO3 at its relaxed geometry (PBE).

a b c (Å): 6.3995 3.5263 8.4340
angles (deg): 90.00 91.36 90.00
Sites, in units of the cell vectors:
K (0.0714, 0.2500, 0.1648)
K (0.9286, 0.7500, 0.8352)
Sm (0.4275, 0.2500, 0.8185)
Sm (0.5725, 0.7500, 0.1815)
Cd (0.2382, 0.7500, 0.4946)
Cd (0.7618, 0.2500, 0.5054)
O (0.1210, 0.2500, 0.6478)
O (0.3105, 0.7500, 0.9761)
O (0.4213, 0.2500, 0.3357)
O (0.5787, 0.7500, 0.6643)
O (0.6895, 0.2500, 0.0239)
O (0.8790, 0.7500, 0.3522)

Values from the calculation:
V ... 15.9 Å³ per atom
Energy ... -5.6728 eV per atom
Magnetization ... 0.000 μB per atom
Crystal system ... monoclinic
ΔE_f (raw) ... -2.0718 eV per atom
Fermi-level density of states ... 0.00 states/eV/cell



No. 2
Entry from the Alexandria database: crystalline Ca3NiW at its relaxed geometry (PBE).

a b c (Å): 5.4423 5.4423 5.4423
angles (deg): 90.00 90.00 90.00
Sites, in units of the cell vectors:
Ca (0.0000, 0.0000, 0.5000)
Ca (0.0000, 0.5000, 0.0000)
Ca (0.5000, 0.0000, 0.0000)
Ni (0.5000, 0.5000, 0.5000)
W (0.0000, 0.0000, 0.0000)

Values from the calculation:
V ... 32.2 Å³ per atom
Energy ... -3.5348 eV per atom
Magnetization ... 0.140 μB per atom
Crystal system ... cubic
Excess energy over the best structure of this formula in the dataset ... 468 meV/atom
Fermi-level density of states ... 8.39 states/eV/cell



Q: Among the records above, which one has the lowest Fermi-level density of states?
A: KSmCdO3